# CdTcWF2

A relaxed structure of CdTcWF2 (PBE+U, Alexandria via LeMat-Bulk).

Unit cell a=3.994 b=7.153 c=3.994 alpha=90.00 beta=90.00 gamma=90.00
Last column: magnetic moment on the atom in μB.
Atoms (fractional coordinates):
F (0.000, 0.000, 0.500)  0.00
F (0.500, 0.000, 0.000)  0.00
Tc (0.500, 0.500, 0.500)  0.13
W (0.000, 0.500, 0.000)  -0.17
Cd (0.000, 0.000, 0.000)  -0.01

Summary:
The total energy is -4.01 eV/atom.